Compound: HgW2Au
Source: Alexandria
Functional: PBE
Structure: relaxed Values from VASP.

```
&SYSTEM
  ibrav = 0, nat = 4, ntyp = 3
/
ATOMIC_SPECIES
Hg 200.59 Hg.upf
W 183.84 W.upf
Au 196.97 Au.upf
CELL_PARAMETERS angstrom
3.307 0.000 0.000
0.000 3.307 0.000
0.000 0.000 6.636
ATOMIC_POSITIONS crystal
Hg 0.000 0.000 0.000
W 0.000 0.000 0.473
W 0.500 0.500 0.288
Au 0.500 0.500 0.740
```

Compound: ErPH
Source: Alexandria
Functional: PBE
Structure: relaxed Values from VASP.

Computed properties:
E above lowest polymorph: 370 meV per atom

```
&SYSTEM
  ibrav = 0, nat = 6, ntyp = 3
/
ATOMIC_SPECIES
Er 167.26 Er.upf
P 30.97 P.upf
H 1.01 H.upf
CELL_PARAMETERS angstrom
3.872 0.000 0.000
0.000 3.872 0.000
0.000 0.000 6.731
ATOMIC_POSITIONS crystal
Er 0.000 0.000 0.000
Er 0.500 0.500 0.500
P 0.000 0.000 0.579
P 0.500 0.500 0.079
H 0.000 0.000 0.342
H 0.500 0.500 0.842
```

Compound: Ca2VAg
Source: Alexandria
Functional: PBE
Structure: relaxed Values from VASP.

Computed properties:
E above lowest polymorph: 0 meV per atom

```
&SYSTEM
  ibrav = 0, nat = 16, ntyp = 3
/
ATOMIC_SPECIES
Ca 40.08 Ca.upf
V 50.94 V.upf
Ag 107.87 Ag.upf
CELL_PARAMETERS angstrom
7.471 0.000 0.000
0.000 7.471 0.000
0.000 0.000 7.471
ATOMIC_POSITIONS crystal
Ca 0.250 0.250 0.250
Ca 0.250 0.250 0.750
Ca 0.250 0.750 0.250
Ca 0.250 0.750 0.750
Ca 0.750 0.250 0.250
Ca 0.750 0.250 0.750
Ca 0.750 0.750 0.250
Ca 0.750 0.750 0.750
V 0.000 0.000 0.000
V 0.000 0.500 0.500
V 0.500 0.000 0.500
V 0.500 0.500 0.000
Ag 0.000 0.000 0.500
Ag 0.000 0.500 0.000
Ag 0.500 0.000 0.000
Ag 0.500 0.500 0.500
```

Compound: Ca2PdSe
Source: Alexandria
Functional: PBE
Structure: relaxed Values from VASP.

Computed properties:
E above lowest polymorph: 248 meV per atom
formation energy (no corrections): -948 meV per atom

```
&SYSTEM
  ibrav = 0, nat = 16, ntyp = 3
/
ATOMIC_SPECIES
Ca 40.08 Ca.upf
Pd 106.42 Pd.upf
Se 78.96 Se.upf
CELL_PARAMETERS angstrom
7.460 0.000 0.000
0.000 7.460 0.000
0.000 0.000 8.369
ATOMIC_POSITIONS crystal
Ca 0.250 0.250 0.125
Ca 0.250 0.250 0.625
Ca 0.250 0.750 0.375
Ca 0.250 0.750 0.875
Ca 0.750 0.250 0.375
Ca 0.750 0.250 0.875
Ca 0.750 0.750 0.125
Ca 0.750 0.750 0.625
Pd 0.000 0.000 0.000
Pd 0.000 0.500 0.250
Pd 0.500 0.000 0.750
Pd 0.500 0.500 0.500
Se 0.000 0.000 0.500
Se 0.000 0.500 0.750
Se 0.500 0.000 0.250
Se 0.500 0.500 0.000
```

no.,energy (Ha/atom),DOS(E_F) (states/eV/cell)
1,-0.252,2.495
2,-0.181,3.775
3,-0.136,15.018
4,-0.151,0.000